# TlGe3P, optimized geometry, DFT PBE
data_TlGe3P
_cell_length_a 5.288
_cell_length_b 5.288
_cell_length_c 5.288
_cell_angle_alpha 90.00
_cell_angle_beta 90.00
_cell_angle_gamma 90.00
_symmetry_space_group_name_H-M 'P m -3 m'
_symmetry_Int_Tables_number 221
_symmetry_space_group_name_Hall '-P 4 2 3'
loop_
_atom_site_label
_atom_site_fract_x
_atom_site_fract_y
_atom_site_fract_z
Tl1 0.000 0.000 0.000
Ge1 0.000 0.000 0.500
P1 0.500 0.500 0.500
# Formation energy from the elements ... 647 kJ/mol of formula units
# Total magnetic moment ... 0.00 μB/f.u.
# Offset from the most stable computed form ... 4.16 eV/f.u.

---

# BaMg2ScNb, optimized geometry, DFT PBE
data_BaMg2ScNb
_cell_length_a 5.465
_cell_length_b 5.465
_cell_length_c 5.472
_cell_angle_alpha 90.00
_cell_angle_beta 90.00
_cell_angle_gamma 90.00
_symmetry_space_group_name_H-M 'P 4/m m m'
_symmetry_Int_Tables_number 123
_symmetry_space_group_name_Hall '-P 4 2'
loop_
_atom_site_label
_atom_site_fract_x
_atom_site_fract_y
_atom_site_fract_z
Ba1 0.000 0.000 0.000
Mg1 0.000 0.500 0.500
Sc1 0.500 0.500 0.000
Nb1 0.000 0.000 0.500
# Formation energy from the elements ... 515 kJ/mol of formula units
# Total magnetic moment ... 0.60 μB/f.u.

---

# PaCdGaPd, optimized geometry, DFT PBE
data_PaCdGaPd
_cell_length_a 6.870
_cell_length_b 6.870
_cell_length_c 6.870
_cell_angle_alpha 90.00
_cell_angle_beta 90.00
_cell_angle_gamma 90.00
_symmetry_space_group_name_H-M 'F -4 3 m'
_symmetry_Int_Tables_number 216
_symmetry_space_group_name_Hall 'F -4 2 3'
loop_
_atom_site_label
_atom_site_fract_x
_atom_site_fract_y
_atom_site_fract_z
Pa1 0.000 0.000 0.000
Cd1 0.000 0.000 0.500
Ga1 0.250 0.250 0.250
Pd1 0.250 0.250 0.750
# Formation energy from the elements ... -119 kJ/mol of formula units
# Total magnetic moment ... 0.00 μB/f.u.

---

Question: Which value of total magnetic moment does entry 2 give?
Answer: 0.60 μB/f.u.

---

Question: formation energy from the elements of number 3 (PaCdGaPd)?
Answer: -119 kJ/mol of formula units

---

Question: Number 3 is which compound?
Answer: PaCdGaPd

---

Question: What is the total magnetic moment in the second record?
Answer: 0.60 μB/f.u.